# 1
## Ho4InC2Se (PBE-GGA)

Data for an optimized crystal structure of Ho4InC2Se.

Cell: 3.6649 3.6649 14.7704 Å, 90.00 90.00 120.00°
Space group P-6m2 (No. 187)
Symmetry-distinct sites (fractional):
1 Ho 0.0000 0.0000 0.1355 [2 per cell]
2 Ho 0.3333 0.6667 0.3159 [2 per cell]
3 In 0.0000 0.0000 0.5000 [1 per cell]
4 C 0.6667 0.3333 0.2271 [2 per cell]
5 Se 0.3333 0.6667 0.0000 [1 per cell]

Values from the calculation:
ρ: 8.48 g/cm³
crystal system: hexagonal
calculated total energy: -6.1446 eV per atom
total moment: 0.21 μB/f.u.

---

# 2
## Tb2NdCu4Ge4 (PBE-GGA)

Data for an optimized crystal structure of Tb2NdCu4Ge4.

Cell: 4.2328 6.7495 14.1045 Å, 90.00 90.00 90.00°
Space group Immm (No. 71)
Symmetry-distinct sites (fractional):
1 Tb 0.0000 0.0000 0.1310 [4 per cell]
2 Nd 0.0000 0.5000 0.0000 [2 per cell]
3 Cu 0.0000 0.1886 0.3321 [8 per cell]
4 Ge 0.0000 0.3133 0.5000 [4 per cell]
5 Ge 0.0000 0.5000 0.2184 [4 per cell]

Values from the calculation:
ρ: 8.30 g/cm³
crystal system: orthorhombic
calculated total energy: -4.9361 eV per atom
total moment: 0.00 μB/f.u.

---

> Look up the total moment of the first one.

0.21 μB/f.u.

---

> Which of these has the highest calculated total energy?

Tb2NdCu4Ge4

---

> Which value of total moment does entry 2 give?

0.00 μB/f.u.

---

> Which value of total moment does entry 2 give?

0.00 μB/f.u.